# 1
# Be2CuSiAs | the Alexandria database | PBE | relaxed
# * energy relative to the elements, uncorrected: 0.8534 eV/atom
# * DOS(E_F): 2.05 states/eV/f.u.
data_Be2CuSiAs
_cell_length_a 4.132
_cell_length_b 4.132
_cell_length_c 4.795
_cell_angle_alpha 90.00
_cell_angle_beta 90.00
_cell_angle_gamma 90.00
_symmetry_space_group_name_H-M 'P 4/m m m'
_symmetry_Int_Tables_number 123
_symmetry_space_group_name_Hall '-P 4 2'
loop_
_atom_site_label
_atom_site_fract_x
_atom_site_fract_y
_atom_site_fract_z
Be1 0.000 0.500 0.000
Cu1 0.000 0.000 0.500
Si1 0.500 0.500 0.500
As1 0.000 0.000 0.000

=====

# 2
# Cr2CoTc | the Alexandria database | PBE | relaxed
# * DFT total energy: -8.998 eV per atom
# * DOS(E_F): 5.44 states/eV/f.u.
data_Cr2CoTc
_cell_length_a 2.578
_cell_length_b 3.620
_cell_length_c 5.218
_cell_angle_alpha 90.00
_cell_angle_beta 90.00
_cell_angle_gamma 90.00
_symmetry_space_group_name_H-M 'P m m 2'
_symmetry_Int_Tables_number 25
_symmetry_space_group_name_Hall 'P 2 -2'
loop_
_atom_site_label
_atom_site_fract_x
_atom_site_fract_y
_atom_site_fract_z
Cr1 0.000 0.000 0.000
Cr2 0.500 0.500 0.246
Co1 0.500 0.500 0.771
Tc1 0.000 0.000 0.506

=====

# 3
# BaHN | the Alexandria database | PBE | relaxed
# * DFT total energy: -4.448 eV per atom
# * DOS(E_F): 0.00 states/eV/f.u.
data_BaHN
_cell_length_a 3.117
_cell_length_b 7.589
_cell_length_c 7.525
_cell_angle_alpha 90.00
_cell_angle_beta 90.00
_cell_angle_gamma 90.00
_symmetry_space_group_name_H-M 'C m c m'
_symmetry_Int_Tables_number 63
_symmetry_space_group_name_Hall '-C 2c 2'
loop_
_atom_site_label
_atom_site_fract_x
_atom_site_fract_y
_atom_site_fract_z
Ba1 0.000 0.000 0.000
H1 0.000 0.240 0.250
N1 0.000 0.297 0.750

=====

Number 1: spin magnetization 0.0 μB per cell. Number 2: spin magnetization 0.0 μB per cell. Number 3: spin magnetization 0.0 μB per cell.